Entry from the Alexandria database: crystalline Pa2AgAu at its relaxed geometry (PBE).

Structure (CIF):
```
data_Pa2AgAu
_cell_length_a 3.145
_cell_length_b 3.145
_cell_length_c 9.008
_cell_angle_alpha 90.00
_cell_angle_beta 90.00
_cell_angle_gamma 90.00
_space_group_name_H-M_alt 'P 4/m m m'
_space_group_IT_number 123
_space_group_name_Hall '-P 4 2'
loop_
_atom_site_label
_atom_site_type_symbol
_atom_site_fract_x
_atom_site_fract_y
_atom_site_fract_z
_atom_site_occupancy
Pa1 Pa 0.000 0.000 0.246 1
Ag1 Ag 0.500 0.500 0.500 1
Au1 Au 0.500 0.500 0.000 1
```

Computed properties:
As for the total energy: -6.300 eV/atom. The calculated volume is 22.277 A^3/atom. The value obtained for the formation energy is -0.020 eV/atom. Its total magnetization is 0.0 μB per cell. The relative energy among the computed polymorphs is 21 meV/atom. As for the density: 14.29 Mg/m³. The calculation puts the density of states at the Fermi level at 1.9889 states/eV per atom. As for the crystal system: tetragonal.

Entry from the Alexandria database: crystalline LiHgAu2O at its relaxed geometry (PBE).

Structure (CIF):
```
data_LiHgAu2O
_cell_length_a 4.332
_cell_length_b 4.332
_cell_length_c 5.480
_cell_angle_alpha 90.00
_cell_angle_beta 90.00
_cell_angle_gamma 90.00
_space_group_name_H-M_alt 'P 4/m m m'
_space_group_IT_number 123
_space_group_name_Hall '-P 4 2'
loop_
_atom_site_label
_atom_site_type_symbol
_atom_site_fract_x
_atom_site_fract_y
_atom_site_fract_z
_atom_site_occupancy
Li1 Li 0.000 0.000 0.000 1
Hg1 Hg 0.500 0.500 0.000 1
Au1 Au 0.000 0.500 0.500 1
O1 O 0.500 0.500 0.500 1
```

Computed properties:
As for the total energy: -2.654 eV/atom. The calculated volume is 20.562 A^3/atom. Its total magnetization is 0.0 μB per cell. As for the density: 9.97 Mg/m³. Its uncorrected formation energy is 92 meV/atom. The calculation puts the density of states at the Fermi level at 0.3354 states/eV per atom. As for the crystal system: tetragonal.

Entry from the Alexandria database: crystalline SmMg2Cu at its relaxed geometry (PBE).

Structure (CIF):
```
data_SmMg2Cu
_cell_length_a 3.258
_cell_length_b 3.258
_cell_length_c 8.277
_cell_angle_alpha 90.00
_cell_angle_beta 90.00
_cell_angle_gamma 90.00
_space_group_name_H-M_alt 'P 4/m m m'
_space_group_IT_number 123
_space_group_name_Hall '-P 4 2'
loop_
_atom_site_label
_atom_site_type_symbol
_atom_site_fract_x
_atom_site_fract_y
_atom_site_fract_z
_atom_site_occupancy
Sm1 Sm 0.000 0.000 0.000 1
Mg1 Mg 0.500 0.500 0.313 1
Cu1 Cu 0.000 0.000 0.500 1
```

Computed properties:
As for the total energy: -3.031 eV/atom. The calculated volume is 21.958 A^3/atom. The value obtained for the formation energy is -0.030 eV/atom. Its total magnetization is 0.0 μB per cell. As for the density: 4.96 Mg/m³. The calculation puts the density of states at the Fermi level at 1.0254 states/eV per atom. As for the crystal system: tetragonal.

What is the density in the first record?
14.29 Mg/m³

What is the formula in the third record?
SmMg2Cu

Look up the calculated volume of the second one.
20.562 A^3/atom